15
Lattice="5.761 0.000 0.000 -2.880 4.989 0.000 0.000 0.000 7.235" Properties=species:S:1:pos:R:3 comment="Tl3CuRe2O9 (PBE-GGA, relaxed)" final_energy_ev_per_cell=-97.48 raw_formation_energy_ev_per_fu=-16.76 spacegroup="P-3m1 (164)" pbc="T T T"
Tl 0.000 0.000 0.000
Tl 0.000 3.326 4.806
Tl 2.880 1.663 2.429
Cu 0.000 0.000 3.618
Re 0.000 3.326 1.234
Re 2.880 1.663 6.001
O -1.440 2.494 0.000
O 0.000 1.777 2.192
O -1.342 4.100 2.192
O 1.539 0.888 5.043
O 2.880 0.000 0.000
O 1.440 2.494 0.000
O 1.342 4.100 2.192
O 4.222 0.888 5.043
O 2.880 3.212 5.043